Here is crystalline TbNp2RhN4 at its relaxed geometry from Alexandria via LeMat-Bulk. Energies are from PBE-GGA.

**DFT total energy**: -9.81 eV per atom
**Density**: 11.7 Mg/m³
**DOS at the Fermi energy**: 21.43 states/eV per cell

Cell: 3.4368 5.8960 11.5922 Å, 90.00 90.00 106.94°
Closest atoms and distances in Å follow each position.
Positions (direct):
N  0.0000  0.0000  0.5000  4 Np 2.34
N  0.5366  0.0733  0.2500  2 Rh 2.16, 2 Tb 2.38
N  0.0000  0.0000  0.0000  4 Np 2.34
N  0.4634  0.9267  0.7500  2 Rh 2.16, 2 Tb 2.38
N  0.7306  0.4612  0.6034  1 Rh 2.15, 3 Np 2.19-2.40
N  0.2694  0.5388  0.1034  1 Rh 2.15, 3 Np 2.19-2.40
N  0.2694  0.5388  0.3966  1 Rh 2.15, 3 Np 2.19-2.40
N  0.7306  0.4612  0.8966  1 Rh 2.15, 3 Np 2.19-2.40
Np  0.6282  0.2565  0.0571  5 N 2.19-2.40
Np  0.3718  0.7435  0.9429  5 N 2.19-2.40
Np  0.6282  0.2565  0.4429  5 N 2.19-2.40
Np  0.3718  0.7435  0.5571  5 N 2.19-2.40
Tb  0.1094  0.2188  0.7500  2 N 2.38
Tb  0.8906  0.7812  0.2500  2 N 2.38
Rh  0.1531  0.3062  0.2500  4 N 2.15-2.16
Rh  0.8469  0.6938  0.7500  4 N 2.15-2.16